(w)
Density functional theory data (PBE) for GaGe3 after structural relaxation.

Cell: 4.795 4.795 4.795 Å, 60.00 60.00 60.00°
Fractional coordinates of all 4 atoms:
Ga 0.000 0.000 0.000
Ge 0.250 0.250 0.250
Ge 0.500 0.500 0.500
Ge 0.750 0.750 0.750

(x)
Density functional theory data (PBE) for GaGe3 after structural relaxation.

Cell: 3.750 5.313 3.914 Å, 90.00 90.00 90.00°
Fractional coordinates of all 4 atoms:
Ga 0.000 0.000 0.000
Ge 0.000 0.500 0.809
Ge 0.500 0.000 0.494
Ge 0.500 0.500 0.308

(y)
Density functional theory data (PBE) for GaGe3 after structural relaxation.

Cell: 6.115 6.115 4.729 Å, 90.00 90.00 120.00°
Fractional coordinates of all 8 atoms:
Ga 0.333 0.667 0.250
Ga 0.667 0.333 0.750
Ge 0.167 0.334 0.750
Ge 0.167 0.833 0.750
Ge 0.334 0.167 0.250
Ge 0.666 0.833 0.750
Ge 0.833 0.167 0.250
Ge 0.833 0.666 0.250

It is (w) that is the least stable of them.

(w)
Density functional theory data (PBE) for Ga2Ge after structural relaxation.

Cell: 5.498 5.498 5.498 Å, 60.00 60.00 60.00°
Fractional coordinates of all 6 atoms:
Ga 0.000 0.000 0.000
Ga 0.000 0.000 0.500
Ga 0.000 0.500 0.000
Ga 0.500 0.000 0.000
Ge 0.375 0.375 0.375
Ge 0.625 0.625 0.625

(x)
Density functional theory data (PBE) for Ga2Ge after structural relaxation.

Cell: 3.546 3.546 5.047 Å, 108.18 108.18 90.86°
Fractional coordinates of all 3 atoms:
Ga 0.165 0.165 0.331
Ga 0.835 0.835 0.669
Ge 0.500 0.500 0.000

It is (w) that is the least stable of them.

(w)
Density functional theory data (PBE) for GaGe2H after structural relaxation.

Cell: 4.441 4.441 4.441 Å, 60.00 60.00 60.00°
Fractional coordinates of all 4 atoms:
Ga 0.000 0.000 0.000
Ge 0.250 0.250 0.250
Ge 0.750 0.750 0.750
H 0.500 0.500 0.500

(x)
Density functional theory data (PBE) for GaGe2H after structural relaxation.

Cell: 7.647 7.647 7.647 Å, 146.58 146.58 47.99°
Fractional coordinates of all 8 atoms:
Ga 0.000 0.000 0.000
Ga 0.750 0.250 0.500
Ge 0.212 0.625 0.087
Ge 0.375 0.462 0.587
Ge 0.538 0.125 0.913
Ge 0.875 0.788 0.413
H 0.250 0.750 0.500
H 0.500 0.500 0.000

It is (w) that is the least stable of them.

(w)
Density functional theory data (PBE) for Ga2GeH after structural relaxation.

Cell: 4.437 4.437 4.437 Å, 60.00 60.00 60.00°
Fractional coordinates of all 4 atoms:
Ga 0.250 0.250 0.250
Ga 0.750 0.750 0.750
Ge 0.000 0.000 0.000
H 0.500 0.500 0.500

(x)
Density functional theory data (PBE) for Ga2GeH after structural relaxation.

Cell: 6.297 6.297 6.297 Å, 37.69 37.69 37.69°
Fractional coordinates of all 4 atoms:
Ga 0.101 0.101 0.101
Ga 0.899 0.899 0.899
Ge 0.500 0.500 0.500
H 0.000 0.000 0.000

(y)
Density functional theory data (PBE) for Ga2GeH after structural relaxation.

Cell: 7.118 7.118 7.118 Å, 142.25 142.25 54.45°
Fractional coordinates of all 8 atoms:
Ga 0.027 0.625 0.902
Ga 0.375 0.277 0.402
Ga 0.723 0.125 0.098
Ga 0.875 0.973 0.598
Ge 0.250 0.750 0.500
Ge 0.500 0.500 0.000
H 0.000 0.000 0.000
H 0.750 0.250 0.500

It is (w) that is the least stable of them.

(w)
Density functional theory data (PBE) for Ga2GeH2 after structural relaxation.

Cell: 6.569 6.569 6.569 Å, 151.36 151.36 40.94°
Fractional coordinates of all 5 atoms:
Ga 0.150 0.150 0.000
Ga 0.850 0.850 0.000
Ge 0.500 0.500 0.000
H 0.250 0.750 0.500
H 0.750 0.250 0.500

(x)
Density functional theory data (PBE) for Ga2GeH2 after structural relaxation.

Cell: 6.899 6.899 2.773 Å, 90.00 90.00 90.00°
Fractional coordinates of all 10 atoms:
Ga 0.139 0.361 0.000
Ga 0.361 0.861 0.000
Ga 0.639 0.139 0.000
Ga 0.861 0.639 0.000
Ge 0.000 0.000 0.000
Ge 0.500 0.500 0.000
H 0.109 0.609 0.500
H 0.391 0.109 0.500
H 0.609 0.891 0.500
H 0.891 0.391 0.500

It is (x) that is the least stable of them.

(w)
Density functional theory data (PBE) for Ga3GeH after structural relaxation.

Cell: 4.327 4.327 4.327 Å, 90.00 90.00 90.00°
Fractional coordinates of all 5 atoms:
Ga 0.000 0.000 0.500
Ga 0.000 0.500 0.000
Ga 0.500 0.000 0.000
Ge 0.500 0.500 0.500
H 0.000 0.000 0.000

(x)
Density functional theory data (PBE) for Ga3GeH after structural relaxation.

Cell: 5.029 5.029 5.029 Å, 90.00 90.00 90.00°
Fractional coordinates of all 5 atoms:
Ga 0.000 0.000 0.500
Ga 0.000 0.500 0.000
Ga 0.500 0.000 0.000
Ge 0.000 0.000 0.000
H 0.500 0.500 0.500

It is (x) that is the least stable of them.

(w)
Density functional theory data (PBE) for Li2GaGeH after structural relaxation.

Cell: 3.852 3.852 4.442 Å, 90.00 90.00 90.00°
Fractional coordinates of all 5 atoms:
Li 0.000 0.500 0.000
Li 0.500 0.000 0.000
Ga 0.000 0.000 0.500
Ge 0.500 0.500 0.500
H 0.000 0.000 0.000

(x)
Density functional theory data (PBE) for Li2GaGeH after structural relaxation.

Cell: 3.980 3.980 4.158 Å, 90.00 90.00 90.00°
Fractional coordinates of all 5 atoms:
Li 0.000 0.500 0.000
Li 0.500 0.000 0.000
Ga 0.000 0.000 0.500
Ge 0.500 0.500 0.500
H 0.500 0.500 0.000

It is (x) that is the least stable of them.

(w)
Density functional theory data (PBE) for Hf3Ga2Ge after structural relaxation.

Cell: 6.993 6.993 7.185 Å, 104.89 104.89 45.72°
Fractional coordinates of all 12 atoms:
Hf 0.000 0.000 0.250
Hf 0.000 0.000 0.750
Hf 0.340 0.340 0.420
Hf 0.340 0.340 0.920
Hf 0.660 0.660 0.080
Hf 0.660 0.660 0.580
Ga 0.169 0.170 0.585
Ga 0.170 0.169 0.085
Ga 0.830 0.831 0.915
Ga 0.831 0.830 0.415
Ge 0.500 0.500 0.250
Ge 0.500 0.500 0.750

(x)
Density functional theory data (PBE) for Hf3Ga2Ge after structural relaxation.

Cell: 11.227 3.881 10.424 Å, 90.00 90.00 90.00°
Fractional coordinates of all 24 atoms:
Hf 0.034 0.250 0.113
Hf 0.116 0.750 0.569
Hf 0.205 0.250 0.805
Hf 0.295 0.750 0.305
Hf 0.384 0.250 0.069
Hf 0.466 0.750 0.613
Hf 0.534 0.250 0.387
Hf 0.616 0.750 0.931
Hf 0.705 0.250 0.695
Hf 0.795 0.750 0.195
Hf 0.884 0.250 0.431
Hf 0.966 0.750 0.887
Ga 0.014 0.750 0.300
Ga 0.192 0.750 0.033
Ga 0.308 0.250 0.533
Ga 0.486 0.250 0.800
Ga 0.514 0.750 0.200
Ga 0.692 0.750 0.467
Ga 0.808 0.250 0.967
Ga 0.986 0.250 0.700
Ge 0.134 0.250 0.376
Ge 0.366 0.750 0.876
Ge 0.634 0.250 0.124
Ge 0.866 0.750 0.624

It is (w) that is the least stable of them.